[1]
NaSrTaPd: relaxed, GGA-PBE.

Results
VASP energy, eV/atom: -4.03
Space group: No. 216

abc: 5.1995 5.1995 5.1995
angles: 60.00 60.00 60.00
Fractional positions:
Na 0.7500 0.7500 0.7500
Ta 0.5000 0.5000 0.5000
Sr 0.2500 0.2500 0.2500
Pd 0.0000 0.0000 0.0000

---

[2]
NaSrTaPd: relaxed, GGA-PBE.

Results
VASP energy, eV/atom: -4.32
Space group: No. 216

abc: 5.0438 5.0438 5.0438
angles: 60.00 60.00 60.00
Fractional positions:
Ta 0.5000 0.5000 0.5000
Na 0.7500 0.7500 0.7500
Sr 0.0000 0.0000 0.0000
Pd 0.2500 0.2500 0.2500

---

[3]
NaTaPd: relaxed, GGA-PBE.

Results
VASP energy, eV/atom: -5.35
Space group: No. 216

abc: 4.4320 4.4320 4.4320
angles: 60.00 60.00 60.00
Fractional positions:
Pd 0.2500 0.2500 0.2500
Na 0.5000 0.5000 0.5000
Ta 0.0000 0.0000 0.0000

---

[4]
NaTbPd: relaxed, GGA-PBE.

Results
VASP energy, eV/atom: -3.97
Space group: No. 216

abc: 4.7907 4.7907 4.7907
angles: 60.00 60.00 60.00
Fractional positions:
Na 0.2500 0.2500 0.2500
Pd 0.0000 0.0000 0.0000
Tb 0.7500 0.7500 0.7500

---

[5]
NaTbTe3Pd: relaxed, GGA-PBE.

Results
VASP energy, eV/atom: -4.33
Space group: No. 63

abc: 8.2970 8.2970 10.2521
angles: 90.00 90.00 150.17
Fractional positions:
Te 0.1303 0.8697 0.9153
Pd 0.9978 0.0022 0.2500
Te 0.3941 0.6059 0.7500
Te 0.6059 0.3941 0.2500
Na 0.7413 0.2587 0.7500
Te 0.8697 0.1303 0.0847
Tb 0.5000 0.5000 0.5000
Tb 0.5000 0.5000 0.0000
Te 0.1303 0.8697 0.5847
Pd 0.0022 0.9978 0.7500
Na 0.2587 0.7413 0.2500
Te 0.8697 0.1303 0.4153

---

[6]
NaTbTe3Pd: relaxed, GGA-PBE.

Results
VASP energy, eV/atom: -4.33
Space group: No. 62

abc: 10.0862 4.3312 16.2484
angles: 90.00 90.00 90.00
Fractional positions:
Tb 0.9874 0.2500 0.2514
Te 0.7621 0.7500 0.6408
Na 0.2341 0.2500 0.0084
Te 0.5759 0.7500 0.3751
Na 0.2659 0.7500 0.5084
Na 0.7659 0.7500 0.9916
Pd 0.7395 0.7500 0.2462
Tb 0.0126 0.7500 0.7486
Tb 0.4874 0.2500 0.2486
Pd 0.2605 0.2500 0.7538
Te 0.1010 0.2500 0.6227
Te 0.2379 0.2500 0.3592
Te 0.2621 0.7500 0.8592
Tb 0.5127 0.7500 0.7514
Pd 0.2395 0.7500 0.2538
Te 0.4241 0.2500 0.6249
Te 0.7379 0.2500 0.1408
Te 0.8990 0.7500 0.3773
Na 0.7341 0.2500 0.4916
Te 0.3990 0.7500 0.1227
Pd 0.7605 0.2500 0.7462
Te 0.9241 0.2500 0.8751
Te 0.0759 0.7500 0.1249
Te 0.6010 0.2500 0.8773

---

[7]
NaTcPd: relaxed, GGA-PBE.

Results
VASP energy, eV/atom: -4.46
Space group: No. 216

abc: 4.4692 4.4692 4.4692
angles: 60.00 60.00 60.00
Fractional positions:
Pd 0.7500 0.7500 0.7500
Na 0.2500 0.2500 0.2500
Tc 0.0000 0.0000 0.0000

---

[8]
NaTePd: relaxed, GGA-PBE.

Results
VASP energy, eV/atom: -3.22
Space group: No. 216

abc: 4.6322 4.6322 4.6322
angles: 60.00 60.00 60.00
Fractional positions:
Na 0.0000 0.0000 0.0000
Te 0.7500 0.7500 0.7500
Pd 0.2500 0.2500 0.2500

---

[9]
Na2Te3Pd2: relaxed, GGA-PBE.

Results
VASP energy, eV/atom: -3.32
Space group: No. 166

abc: 6.3289 6.3289 6.3289
angles: 65.12 65.12 65.12
Fractional positions:
Te 0.0000 0.5000 0.0000
Pd 0.2868 0.2868 0.2868
Te 0.0000 0.0000 0.5000
Te 0.5000 0.0000 0.0000
Na 0.0000 0.0000 0.0000
Na 0.5000 0.5000 0.5000
Pd 0.7132 0.7132 0.7132

---

[10]
NaTePd: relaxed, GGA-PBE.

Results
VASP energy, eV/atom: -3.71
Space group: No. 216

abc: 4.5918 4.5918 4.5918
angles: 60.00 60.00 60.00
Fractional positions:
Te 0.7500 0.7500 0.7500
Pd 0.0000 0.0000 0.0000
Na 0.2500 0.2500 0.2500

---

[11]
NaTe2Pd2: relaxed, GGA-PBE.

Results
VASP energy, eV/atom: -4.02
Space group: No. 139

abc: 6.8860 6.8860 6.8860
angles: 142.03 142.03 54.79
Fractional positions:
Na 0.0000 0.0000 0.0000
Te 0.6281 0.6281 0.0000
Pd 0.7500 0.2500 0.5000
Te 0.3719 0.3719 0.0000
Pd 0.2500 0.7500 0.5000

---

[12]
Na2Te3Pd2: relaxed, GGA-PBE.

Results
VASP energy, eV/atom: -3.60
Space group: No. 199

abc: 7.5202 7.5202 7.5202
angles: 109.47 109.47 109.47
Fractional positions:
Pd 0.8126 0.5000 0.0000
Te 0.2500 0.6448 0.3948
Na 0.3235 0.5000 0.0000
Pd 0.5000 0.0000 0.8126
Te 0.1052 0.7500 0.8552
Te 0.6448 0.3948 0.2500
Na 0.5000 0.0000 0.3235
Pd 0.6874 0.6874 0.6874
Te 0.7500 0.8552 0.1052
Te 0.3948 0.2500 0.6448
Te 0.8552 0.1052 0.7500
Pd 0.0000 0.8126 0.5000
Na 0.0000 0.3235 0.5000
Na 0.1765 0.1765 0.1765

---

[13]
NaTmTe3Pd: relaxed, GGA-PBE.

Results
VASP energy, eV/atom: -4.29
Space group: No. 63

abc: 8.4517 8.4517 9.9851
angles: 90.00 90.00 150.62
Fractional positions:
Tm 0.5000 0.5000 0.5000
Te 0.3912 0.6088 0.7500
Na 0.2597 0.7403 0.2500
Te 0.1239 0.8761 0.5853
Tm 0.5000 0.5000 0.0000
Te 0.8761 0.1239 0.4147
Pd 0.0045 0.9955 0.2500
Pd 0.9955 0.0045 0.7500
Te 0.1239 0.8761 0.9147
Na 0.7403 0.2597 0.7500
Te 0.8761 0.1239 0.0853
Te 0.6088 0.3912 0.2500

---

[14]
NaYTe3Pd: relaxed, GGA-PBE.

Results
VASP energy, eV/atom: -4.64
Space group: No. 63

abc: 8.3130 8.3130 10.2283
angles: 90.00 90.00 150.28
Fractional positions:
Y 0.0000 0.0000 0.0000
Te 0.3706 0.6294 0.9159
Na 0.2410 0.7590 0.2500
Na 0.7590 0.2410 0.7500
Te 0.6294 0.3706 0.0841
Te 0.6294 0.3706 0.4159
Pd 0.4980 0.5020 0.7500
Te 0.3706 0.6294 0.5841
Y 0.0000 0.0000 0.5000
Te 0.8944 0.1056 0.2500
Te 0.1056 0.8944 0.7500
Pd 0.5020 0.4980 0.2500

---

[15]
NaYTe3Pd: relaxed, GGA-PBE.

Results
VASP energy, eV/atom: -4.64
Space group: No. 62

abc: 10.0895 4.3245 16.1776
angles: 90.00 90.00 90.00
Fractional positions:
Te 0.5745 0.7500 0.8756
Y 0.9873 0.2500 0.7518
Na 0.7333 0.2500 0.9921
Na 0.7667 0.7500 0.4921
Y 0.5127 0.7500 0.2518
Te 0.6004 0.2500 0.3784
Te 0.2381 0.2500 0.8587
Pd 0.7603 0.2500 0.2471
Te 0.7381 0.2500 0.6413
Pd 0.2603 0.2500 0.2529
Pd 0.2397 0.7500 0.7529
Te 0.9255 0.2500 0.3756
Na 0.2667 0.7500 0.0079
Te 0.8996 0.7500 0.8784
Te 0.0745 0.7500 0.6244
Te 0.2619 0.7500 0.3587
Te 0.3996 0.7500 0.6216
Na 0.2333 0.2500 0.5079
Y 0.4873 0.2500 0.7482
Pd 0.7397 0.7500 0.7471
Te 0.4255 0.2500 0.1244
Y 0.0127 0.7500 0.2482
Te 0.1004 0.2500 0.1216
Te 0.7619 0.7500 0.1413

---

[16]
NaYTe3Pd: relaxed, GGA-PBE.

Results
VASP energy, eV/atom: -4.61
Space group: No. 11

abc: 8.7287 4.2629 10.1969
angles: 90.00 108.45 90.00
Fractional positions:
Y 0.3134 0.2500 0.8458
Y 0.6866 0.7500 0.1542
Te 0.4344 0.2500 0.1620
Na 0.2225 0.7500 0.2569
Te 0.5656 0.7500 0.8380
Te 0.0647 0.7500 0.8539
Te 0.2295 0.2500 0.5207
Pd 0.0960 0.7500 0.5966
Te 0.7705 0.7500 0.4793
Na 0.7775 0.2500 0.7431
Pd 0.9040 0.2500 0.4034
Te 0.9353 0.2500 0.1461

---

[17]
NaThPd: relaxed, GGA-PBE.

Results
VASP energy, eV/atom: -4.69
Space group: No. 216

abc: 4.8632 4.8632 4.8632
angles: 60.00 60.00 60.00
Fractional positions:
Na 0.2500 0.2500 0.2500
Th 0.7500 0.7500 0.7500
Pd 0.0000 0.0000 0.0000

---

[18]
NaTlPd2: relaxed, GGA-PBE.

Results
VASP energy, eV/atom: -3.62
Space group: No. 216

abc: 4.6866 4.6866 4.6866
angles: 60.00 60.00 60.00
Fractional positions:
Pd 0.0000 0.0000 0.0000
Tl 0.5000 0.5000 0.5000
Na 0.2500 0.2500 0.2500
Pd 0.7500 0.7500 0.7500

---

[19]
Na3Tl2Pd2: relaxed, GGA-PBE.

Results
VASP energy, eV/atom: -2.92
Space group: No. 12

abc: 4.8684 4.8684 8.2337
angles: 107.45 107.45 59.88
Fractional positions:
Tl 0.1008 0.1008 0.3034
Pd 0.7698 0.7698 0.3108
Na 0.6371 0.6371 0.9118
Na 0.5000 0.5000 0.5000
Pd 0.2302 0.2302 0.6892
Na 0.3629 0.3629 0.0882
Tl 0.8992 0.8992 0.6966

---

[20]
NaTlPd2: relaxed, GGA-PBE.

Results
VASP energy, eV/atom: -3.62
Space group: No. 123

abc: 3.2532 3.2532 7.3147
angles: 90.00 90.00 90.00
Fractional positions:
Na 0.0000 0.0000 0.5000
Tl 0.0000 0.0000 0.0000
Pd 0.5000 0.5000 0.2291
Pd 0.5000 0.5000 0.7709

---

[21]
NaTlPd2: relaxed, GGA-PBE.

Results
VASP energy, eV/atom: -3.71
Space group: No. 74

abc: 6.0745 6.1831 7.6915
angles: 90.00 90.00 90.00
Fractional positions:
Na 0.2479 0.7500 0.5003
Pd 0.0001 0.4994 0.7502
Pd 0.9999 0.5006 0.2498
Pd 0.4999 0.4994 0.2502
Tl 0.7486 0.7500 0.5000
Na 0.2521 0.7500 0.0003
Pd 0.5001 0.9994 0.7498
Tl 0.7514 0.7500 0.0000
Pd 0.4999 0.0006 0.2502
Pd 0.0001 0.0006 0.7502
Tl 0.2486 0.2500 0.0000
Pd 0.9999 0.9994 0.2498
Na 0.7521 0.2500 0.4997
Pd 0.5001 0.5006 0.7498
Na 0.7479 0.2500 0.9997
Tl 0.2514 0.2500 0.5000

---

[22]
NaTlPd: relaxed, GGA-PBE.

Results
VASP energy, eV/atom: -3.07
Space group: No. 216

abc: 4.6929 4.6929 4.6929
angles: 60.00 60.00 60.00
Fractional positions:
Na 0.2500 0.2500 0.2500
Pd 0.0000 0.0000 0.0000
Tl 0.7500 0.7500 0.7500

---

[23]
NaTlPd2: relaxed, GGA-PBE.

Results
VASP energy, eV/atom: -3.71
Space group: No. 123

abc: 4.3225 4.3225 3.8944
angles: 90.00 90.00 90.00
Fractional positions:
Tl 0.5000 0.5000 0.5000
Pd 0.5000 0.0000 0.0000
Na 0.0000 0.0000 0.5000
Pd 0.0000 0.5000 0.0000

---

[24]
NaTlPd2: relaxed, GGA-PBE.

Results
VASP energy, eV/atom: -3.71
Space group: No. 59

abc: 6.0983 4.8335 9.9416
angles: 90.00 90.00 90.00
Fractional positions:
Pd 0.4982 0.7500 0.6532
Pd 0.5018 0.2500 0.8468
Tl 0.7500 0.7500 0.8967
Na 0.7500 0.2500 0.1007
Tl 0.2500 0.2500 0.1033
Pd 0.9982 0.2500 0.8468
Tl 0.7500 0.7500 0.3967
Pd 0.0018 0.7500 0.1532
Pd 0.4982 0.7500 0.1532
Na 0.7500 0.2500 0.6007
Na 0.2500 0.7500 0.3993
Pd 0.0018 0.7500 0.6532
Na 0.2500 0.7500 0.8993
Tl 0.2500 0.2500 0.6033
Pd 0.9982 0.2500 0.3468
Pd 0.5018 0.2500 0.3468